(1)
The following is a PBE calculation of a relaxed structure of CsIn6Ir, from Alexandria.

Geometry as POSCAR:
```
CsIn6Ir
1.0
-0.743 -1.477 -4.507
4.584 0.946 -1.066
2.479 -9.112 2.577
In Ir Cs
6 1 1
direct
0.000 0.500 0.653
0.500 0.000 0.653
0.500 0.500 0.155
0.500 0.000 0.347
0.000 0.500 0.347
0.500 0.500 0.845
0.000 0.000 0.500
0.000 0.000 0.000
```

---

(2)
The following is a PBE calculation of a relaxed structure of Cs2In4Ir, from Alexandria.

Geometry as POSCAR:
```
Cs2In4Ir
1.0
-0.096 -1.377 5.055
-3.416 -3.817 -1.105
6.036 -9.099 0.351
In Ir Cs
4 1 2
direct
0.129 0.129 0.742
0.871 0.871 0.258
0.000 0.500 0.000
0.500 0.000 0.000
0.000 0.000 0.000
0.331 0.331 0.338
0.669 0.669 0.662
```

---

(3)
The following is a PBE calculation of a relaxed structure of CsInIr3, from Alexandria.

Geometry as POSCAR:
```
CsInIr3
1.0
5.045 0.000 0.000
0.000 5.045 0.000
0.000 0.000 5.045
In Cs Ir
1 1 3
direct
0.500 0.500 0.500
0.000 0.000 0.000
0.500 0.000 0.000
0.000 0.500 0.000
0.000 0.000 0.500
```

Summary:
- Relative energy among the computed polymorphs: 1046 meV per atom

---

(4)
The following is a PBE calculation of a relaxed structure of CsIn2Ir, from Alexandria.

Geometry as POSCAR:
```
CsIn2Ir
1.0
6.849 0.000 0.000
0.000 6.849 0.000
3.425 3.425 7.534
Cs In Ir
2 4 2
direct
0.250 0.750 0.500
0.500 0.500 0.000
0.875 0.625 0.250
0.875 0.125 0.750
0.375 0.125 0.750
0.875 0.125 0.250
0.750 0.250 0.500
0.000 0.000 0.000
```

Summary:
- Relative energy among the computed polymorphs: 0 meV per atom

---

(5)
The following is a PBE calculation of a relaxed structure of CsIn3Ir, from Alexandria.

Geometry as POSCAR:
```
CsIn3Ir
1.0
6.156 0.000 0.000
0.000 6.156 0.000
0.000 0.000 6.156
Cs In Ir
1 3 1
direct
0.000 0.000 0.000
0.000 0.500 0.000
0.000 0.000 0.500
0.500 0.000 0.000
0.500 0.500 0.500
```

Summary:
- Relative energy among the computed polymorphs: 2224 meV per atom

---

(6)
The following is a PBE calculation of a relaxed structure of CsIn3Ir, from Alexandria.

Geometry as POSCAR:
```
CsIn3Ir
1.0
-4.619 -0.872 -2.461
-0.641 -4.469 2.787
-2.531 2.724 3.786
Cs In Ir
1 3 1
direct
0.500 0.500 0.500
0.500 0.000 0.000
0.000 0.500 0.000
0.000 0.000 0.500
0.000 0.000 0.000
```

Summary:
- Relative energy among the computed polymorphs: 0 meV per atom

---

These records have density of states at the Fermi level values of 0.2637; 0.7399; 1.3729; 0.0434; 1.7531; 1.0671 states/eV/atom, in the order they appear.
These records have total energy values of -0.2474; -0.2310; -0.2360; -0.2740; -0.1103; -0.2738 Ry per atom, in the order they appear.
These records have energy of formation values of -99; -68; 2824; 69; 2085; -139 meV per atom, in the order they appear.